The following is a DFT calculation (PBE) of a relaxed structure of CsTe2P.

```
data_CsTe2P
_chemical_formula_sum 'Cs3 Te6 P3'
_symmetry_space_group_name_H-M 'R -3 m'
_symmetry_Int_Tables_number 166
_symmetry_space_group_name_Hall '-R 3 2"'
_cell_length_a 4.1973
_cell_length_b 4.1973
_cell_length_c 30.2797
_cell_angle_alpha 90.00
_cell_angle_beta 90.00
_cell_angle_gamma 120.00
loop_
_atom_site_label
_atom_site_type_symbol
_atom_site_fract_x
_atom_site_fract_y
_atom_site_fract_z
Cs1 Cs 0.0000 0.0000 0.0000
Te1 Te 0.0000 0.0000 0.1176
P1 P 0.0000 0.0000 0.5000
```

For the uncorrected formation energy, the calculation gives 0.012 eV/atom.



The following is a DFT calculation (PBE) of a relaxed structure of Cs3TeP.

```
data_Cs3TeP
_chemical_formula_sum 'Cs3 Te1 P1'
_symmetry_space_group_name_H-M 'P m -3 m'
_symmetry_Int_Tables_number 221
_symmetry_space_group_name_Hall '-P 4 2 3'
_cell_length_a 7.306
_cell_length_b 7.306
_cell_length_c 7.306
_cell_angle_alpha 90.00
_cell_angle_beta 90.00
_cell_angle_gamma 90.00
loop_
_atom_site_label
_atom_site_type_symbol
_atom_site_fract_x
_atom_site_fract_y
_atom_site_fract_z
Cs1 Cs 0.000 0.000 0.500
Te1 Te 0.000 0.000 0.000
P1 P 0.500 0.500 0.500
```

For the uncorrected formation energy, the calculation gives -0.140 eV/atom.



The following is a DFT calculation (PBE) of a relaxed structure of CsZrTeP2.

```
data_CsZrTeP2
_chemical_formula_sum 'Cs1 Zr1 Te1 P2'
_symmetry_space_group_name_H-M 'P 4/m m m'
_symmetry_Int_Tables_number 123
_symmetry_space_group_name_Hall '-P 4 2'
_cell_length_a 5.034
_cell_length_b 5.034
_cell_length_c 10.268
_cell_angle_alpha 90.00
_cell_angle_beta 90.00
_cell_angle_gamma 90.00
loop_
_atom_site_label
_atom_site_type_symbol
_atom_site_fract_x
_atom_site_fract_y
_atom_site_fract_z
Cs1 Cs 0.000 0.000 0.000
Zr1 Zr 0.000 0.000 0.500
Te1 Te 0.500 0.500 0.000
P1 P 0.000 0.500 0.500
```

For the uncorrected formation energy, the calculation gives 0.296 eV/atom.



The following is a DFT calculation (PBE) of a relaxed structure of CsTi2P2.

```
data_CsTi2P2
_chemical_formula_sum 'Cs2 Ti4 P4'
_symmetry_space_group_name_H-M 'I 4/m m m'
_symmetry_Int_Tables_number 139
_symmetry_space_group_name_Hall '-I 4 2'
_cell_length_a 4.853
_cell_length_b 4.853
_cell_length_c 13.608
_cell_angle_alpha 90.00
_cell_angle_beta 90.00
_cell_angle_gamma 90.00
loop_
_atom_site_label
_atom_site_type_symbol
_atom_site_fract_x
_atom_site_fract_y
_atom_site_fract_z
Cs1 Cs 0.000 0.000 0.000
Ti1 Ti 0.000 0.000 0.262
P1 P 0.000 0.500 0.250
```

As for the formation energy from the elements: -0.415 eV per atom.



The following is a DFT calculation (PBE) of a relaxed structure of CsTi2P.

```
data_CsTi2P
_chemical_formula_sum 'Cs4 Ti8 P4'
_symmetry_space_group_name_H-M 'I 41/a m d'
_symmetry_Int_Tables_number 141
_cell_length_a 5.117
_cell_length_b 5.117
_cell_length_c 17.594
_cell_angle_alpha 90.00
_cell_angle_beta 90.00
_cell_angle_gamma 90.00
loop_
_symmetry_equiv_pos_as_xyz
'x,y,z'
'-x,-y,-z'
'-y+1/4,x+3/4,z+1/4'
'y+1/4,-x+3/4,-z+1/4'
'-x+1/2,-y,z+1/2'
'x+1/2,y,-z+1/2'
'y+1/4,-x+1/4,z+3/4'
'-y+1/4,x+1/4,-z+3/4'
'x,-y,-z'
'-x,y,z'
'-y+1/4,-x+1/4,-z+3/4'
'y+1/4,x+1/4,z+3/4'
'-x+1/2,y,-z+1/2'
'x+1/2,-y,z+1/2'
'y+1/4,x+3/4,-z+1/4'
'-y+1/4,-x+3/4,z+1/4'
'x+1/2,y+1/2,z+1/2'
'-x+1/2,-y+1/2,-z+1/2'
'-y+3/4,x+1/4,z+3/4'
'y+3/4,-x+1/4,-z+3/4'
'-x,-y+1/2,z'
'x,y+1/2,-z'
'y+3/4,-x+3/4,z+1/4'
'-y+3/4,x+3/4,-z+1/4'
'x+1/2,-y+1/2,-z+1/2'
'-x+1/2,y+1/2,z+1/2'
'-y+3/4,-x+3/4,-z+1/4'
'y+3/4,x+3/4,z+1/4'
'-x,y+1/2,-z'
'x,-y+1/2,z'
'y+3/4,x+1/4,-z+3/4'
'-y+3/4,-x+1/4,z+3/4'
loop_
_atom_site_label
_atom_site_type_symbol
_atom_site_fract_x
_atom_site_fract_y
_atom_site_fract_z
Cs1 Cs 0.000 0.250 0.375
Ti1 Ti 0.000 0.000 0.000
P1 P 0.000 0.250 0.875
```

As for the formation energy from the elements: 0.499 eV per atom.



The following is a DFT calculation (PBE) of a relaxed structure of Cs2YTiP.

```
data_Cs2YTiP
_chemical_formula_sum 'Cs2 Y1 Ti1 P1'
_symmetry_space_group_name_H-M 'P 4/m m m'
_symmetry_Int_Tables_number 123
_symmetry_space_group_name_Hall '-P 4 2'
_cell_length_a 7.014
_cell_length_b 7.014
_cell_length_c 5.017
_cell_angle_alpha 90.00
_cell_angle_beta 90.00
_cell_angle_gamma 90.00
loop_
_atom_site_label
_atom_site_type_symbol
_atom_site_fract_x
_atom_site_fract_y
_atom_site_fract_z
Cs1 Cs 0.000 0.500 0.000
Y1 Y 0.000 0.000 0.000
Ti1 Ti 0.000 0.000 0.500
P1 P 0.500 0.500 0.500
```

As for the formation energy from the elements: 1.453 eV per atom.



The following is a DFT calculation (PBE) of a relaxed structure of Cs2TlP2.

```
data_Cs2TlP2
_chemical_formula_sum 'Cs4 Tl2 P4'
_symmetry_space_group_name_H-M 'P 4/m b m'
_symmetry_Int_Tables_number 127
_symmetry_space_group_name_Hall '-P 4 2ab'
_cell_length_a 7.855
_cell_length_b 7.855
_cell_length_c 5.799
_cell_angle_alpha 90.00
_cell_angle_beta 90.00
_cell_angle_gamma 90.00
loop_
_atom_site_label
_atom_site_type_symbol
_atom_site_fract_x
_atom_site_fract_y
_atom_site_fract_z
Cs1 Cs 0.185 0.315 0.000
Tl1 Tl 0.000 0.000 0.500
P1 P 0.095 0.595 0.500
```

As for the formation energy from the elements: -0.157 eV per atom.



The following is a DFT calculation (PBE) of a relaxed structure of Cs3TlP.

```
data_Cs3TlP
_chemical_formula_sum 'Cs3 Tl1 P1'
_symmetry_space_group_name_H-M 'P m -3 m'
_symmetry_Int_Tables_number 221
_symmetry_space_group_name_Hall '-P 4 2 3'
_cell_length_a 6.910
_cell_length_b 6.910
_cell_length_c 6.910
_cell_angle_alpha 90.00
_cell_angle_beta 90.00
_cell_angle_gamma 90.00
loop_
_atom_site_label
_atom_site_type_symbol
_atom_site_fract_x
_atom_site_fract_y
_atom_site_fract_z
Cs1 Cs 0.000 0.000 0.500
Tl1 Tl 0.500 0.500 0.500
P1 P 0.000 0.000 0.000
```

As for the formation energy from the elements: 0.149 eV per atom.



The following is a DFT calculation (PBE) of a relaxed structure of CsTlP.

```
data_CsTlP
_chemical_formula_sum 'Cs8 Tl8 P8'
_symmetry_space_group_name_H-M 'C m c e'
_symmetry_Int_Tables_number 64
_symmetry_space_group_name_Hall '-C 2ac 2'
_cell_length_a 11.468
_cell_length_b 10.501
_cell_length_c 7.904
_cell_angle_alpha 90.00
_cell_angle_beta 90.00
_cell_angle_gamma 90.00
loop_
_atom_site_label
_atom_site_type_symbol
_atom_site_fract_x
_atom_site_fract_y
_atom_site_fract_z
Cs1 Cs 0.250 0.093 0.250
Tl1 Tl 0.000 0.151 0.613
P1 P 0.000 0.100 0.967
```

As for the formation energy from the elements: -0.139 eV per atom.



The following is a DFT calculation (PBE) of a relaxed structure of Cs3TlP.

```
data_Cs3TlP
_chemical_formula_sum 'Cs12 Tl4 P4'
_symmetry_space_group_name_H-M 'P 1 21/c 1'
_symmetry_Int_Tables_number 14
_cell_length_a 8.780
_cell_length_b 6.378
_cell_length_c 17.020
_cell_angle_alpha 90.00
_cell_angle_beta 95.50
_cell_angle_gamma 90.00
loop_
_symmetry_equiv_pos_as_xyz
'x,y,z'
'-x,-y,-z'
'-x,y+1/2,-z+1/2'
'x,-y+1/2,z+1/2'
loop_
_atom_site_label
_atom_site_type_symbol
_atom_site_fract_x
_atom_site_fract_y
_atom_site_fract_z
Cs1 Cs 0.053 0.231 0.174
Cs2 Cs 0.356 0.746 0.489
Cs3 Cs 0.370 0.731 0.250
Tl1 Tl 0.063 0.235 0.445
P1 P 0.300 0.235 0.357
```

As for the formation energy from the elements: -0.163 eV per atom.



The following is a DFT calculation (PBE) of a relaxed structure of Cs6Tl3P.

```
data_Cs6Tl3P
_chemical_formula_sum 'Cs12 Tl6 P2'
_symmetry_space_group_name_H-M 'P 1 21/c 1'
_symmetry_Int_Tables_number 14
_cell_length_a 10.952
_cell_length_b 7.850
_cell_length_c 15.686
_cell_angle_alpha 90.00
_cell_angle_beta 131.85
_cell_angle_gamma 90.00
loop_
_symmetry_equiv_pos_as_xyz
'x,y,z'
'-x,-y,-z'
'-x,y+1/2,-z+1/2'
'x,-y+1/2,z+1/2'
loop_
_atom_site_label
_atom_site_type_symbol
_atom_site_fract_x
_atom_site_fract_y
_atom_site_fract_z
Cs1 Cs 0.090 0.246 0.358
Cs2 Cs 0.217 0.120 0.659
Cs3 Cs 0.379 0.580 0.814
Tl1 Tl 0.242 0.687 0.510
Tl2 Tl 0.500 0.000 0.000
P1 P 0.000 0.000 0.000
```

As for the formation energy from the elements: -0.038 eV per atom.



The following is a DFT calculation (PBE) of a relaxed structure of CsTlP.

```
data_CsTlP
_chemical_formula_sum 'Cs1 Tl1 P1'
_symmetry_space_group_name_H-M 'P 3 m 1'
_symmetry_Int_Tables_number 156
_cell_length_a 4.8536
_cell_length_b 4.8536
_cell_length_c 5.6892
_cell_angle_alpha 90.00
_cell_angle_beta 90.00
_cell_angle_gamma 120.00
loop_
_symmetry_equiv_pos_as_xyz
'x,y,z'
'-y,x-y,z'
'-x+y,-x,z'
'-y,-x,z'
'-x+y,y,z'
'x,x-y,z'
loop_
_atom_site_label
_atom_site_type_symbol
_atom_site_fract_x
_atom_site_fract_y
_atom_site_fract_z
Cs1 Cs 0.0000 0.0000 0.0000
Tl1 Tl 0.6667 0.3333 0.4980
P1 P 0.3333 0.6667 0.5022
```

As for the formation energy from the elements: -0.045 eV per atom.



The following is a DFT calculation (PBE) of a relaxed structure of CsUP2.

```
data_CsUP2
_chemical_formula_sum 'Cs3 U3 P6'
_symmetry_space_group_name_H-M 'R -3 m'
_symmetry_Int_Tables_number 166
_symmetry_space_group_name_Hall '-R 3 2"'
_cell_length_a 4.1629
_cell_length_b 4.1629
_cell_length_c 24.3174
_cell_angle_alpha 90.00
_cell_angle_beta 90.00
_cell_angle_gamma 120.00
loop_
_atom_site_label
_atom_site_type_symbol
_atom_site_fract_x
_atom_site_fract_y
_atom_site_fract_z
Cs1 Cs 0.0000 0.0000 0.0000
U1 U 0.0000 0.0000 0.5000
P1 P 0.0000 0.0000 0.2205
```

As for the formation energy from the elements: -0.581 eV per atom.



Number 1: size of the total moment 0.00 μB per cell, DOS at the Fermi energy 5.4 states/eV per cell. Number 2: size of the total moment 2.00 μB per cell, DOS at the Fermi energy 8.7 states/eV per cell. Number 3: size of the total moment 0.99 μB per cell, DOS at the Fermi energy 7.1 states/eV per cell. Number 4: size of the total moment 5.23 μB per cell, DOS at the Fermi energy 7.2 states/eV per cell. Number 5: size of the total moment 0.00 μB per cell, DOS at the Fermi energy 22.2 states/eV per cell. Number 6: size of the total moment 0.67 μB per cell, DOS at the Fermi energy 6.7 states/eV per cell. Number 7: size of the total moment 0.00 μB per cell, DOS at the Fermi energy 8.7 states/eV per cell. Number 8: size of the total moment 2.34 μB per cell, DOS at the Fermi energy 7.0 states/eV per cell. Number 9: size of the total moment 0.00 μB per cell, DOS at the Fermi energy 4.8 states/eV per cell. Number 10: size of the total moment 0.00 μB per cell, DOS at the Fermi energy 10.5 states/eV per cell. Number 11: size of the total moment 0.00 μB per cell, DOS at the Fermi energy 13.7 states/eV per cell. Number 12: size of the total moment 0.00 μB per cell, DOS at the Fermi energy 1.6 states/eV per cell. Number 13: size of the total moment 3.00 μB per cell, DOS at the Fermi energy 17.2 states/eV per cell.